AcUMnO5 | PBE+U | optimized geometry

Unit cell a=6.213 b=6.213 c=8.119 alpha=104.97 beta=104.97 gamma=107.02
Last column: magnetic moment on the atom in μB.
Positions (direct):
O  0.269  0.346  0.594  0.00
O  0.691  0.106  0.411  0.00
O  0.924  0.076  0.750  -0.02
O  0.731  0.654  0.406  0.00
O  0.654  0.731  0.906  0.00
O  0.106  0.691  0.911  0.00
O  0.076  0.924  0.250  -0.02
O  0.346  0.269  0.094  0.00
O  0.309  0.894  0.589  0.00
O  0.894  0.309  0.089  0.00
Ac  0.325  0.675  0.250  0.01
Ac  0.675  0.325  0.750  0.01
U  0.000  0.000  0.000  1.17
U  0.000  0.000  0.500  1.17
Mn  0.686  0.314  0.250  4.54
Mn  0.314  0.686  0.750  4.54

Properties
Magnetization: 6.00 μB/f.u.
Energy: -8.89 eV/atom